The following is a DFT calculation (PBE) of crystalline NaLiIn5 at its relaxed geometry.

Structure (POSCAR):
```
NaLiIn5
1.0
4.766 0.000 0.000
0.000 4.766 0.000
0.000 0.000 7.709
Na Li In
1 1 5
direct
0.000 0.000 0.000
0.000 0.000 0.500
0.000 0.500 0.293
0.000 0.500 0.707
0.500 0.000 0.293
0.500 0.000 0.707
0.500 0.500 0.000
```

Values from the calculation:
DFT formation energy	-91	meV/atom
DOS at the Fermi energy	2.96	states/eV/cell
SG	No. 123


The following is a DFT calculation (PBE) of crystalline Na4LiIn at its relaxed geometry.

Structure (POSCAR):
```
Na4LiIn
1.0
0.000 4.476 4.476
4.476 0.000 4.476
4.476 4.476 0.000
Na Li In
4 1 1
direct
0.124 0.124 0.124
0.124 0.124 0.627
0.124 0.627 0.124
0.627 0.124 0.124
0.500 0.500 0.500
0.750 0.750 0.750
```

Values from the calculation:
DFT formation energy	103	meV/atom
DOS at the Fermi energy	3.64	states/eV/cell
SG	No. 216


DFT formation energy of number 1 (NaLiIn5)? -91 meV/atom


DFT formation energy of number 2 (Na4LiIn)? 103 meV/atom


Which value of DFT formation energy does entry 1 give? -91 meV/atom